[1]
Density functional theory data (PBE) for a relaxed structure of Sm5HoIn.

Properties
Density, g cm⁻³: 5.8

a = 8.581 Å, b = 11.657 Å, c = 5.933 Å
α = 90.00°, β = 90.00°, γ = 90.00°
Fractional positions:
Sm 0.000 0.000 0.000
Sm 0.000 0.250 0.609
Sm 0.000 0.750 0.609
Sm 0.171 0.500 0.213
Sm 0.329 0.000 0.713
Sm 0.500 0.250 0.109
Sm 0.500 0.500 0.500
Sm 0.500 0.750 0.109
Sm 0.671 0.000 0.713
Sm 0.829 0.500 0.213
Ho 0.000 0.000 0.485
Ho 0.500 0.500 0.985
In 0.000 0.500 0.731
In 0.500 0.000 0.231


[2]
Density functional theory data (PBE) for a relaxed structure of Sm6Ho8In.

Properties
Density, g cm⁻³: 8.0

a = 9.378 Å, b = 9.378 Å, c = 6.369 Å
α = 90.00°, β = 90.00°, γ = 120.00°
Fractional positions:
Sm 0.091 0.450 0.319
Sm 0.359 0.909 0.319
Sm 0.450 0.359 0.681
Sm 0.550 0.641 0.319
Sm 0.641 0.091 0.681
Sm 0.909 0.550 0.681
Ho 0.038 0.264 0.814
Ho 0.226 0.962 0.814
Ho 0.264 0.226 0.186
Ho 0.333 0.667 0.833
Ho 0.667 0.333 0.167
Ho 0.736 0.774 0.814
Ho 0.774 0.038 0.186
Ho 0.962 0.736 0.186
In 0.000 0.000 0.500


no.,E (eV per formula unit),magnetization (μB/f.u.)
1,-25.78,0.00
2,-66.57,0.00